No. 1
Density functional theory data (PBE) for a relaxed structure of GaRe2HgTe.

Uncorrected formation energy (eV per atom): 2.0081
DOS(E_F) (states/eV/atom): 0.823
Magnetization (μB per cell): 2.2

Cell lengths 4.933, 5.311, 4.933 Å; angles 90.00, 90.00, 90.00 degrees
Positions (direct):
Ga: 0.000 0.500 0.000
Re: 0.000 0.000 0.500
Re: 0.500 0.000 0.000
Te: 0.000 0.000 0.000
Hg: 0.500 0.500 0.500

***

No. 2
Density functional theory data (PBE) for a relaxed structure of Mo2RhW.

Energy of formation from the pure elements (eV/f.u.): 0.82
DOS(E_F) (states/eV/atom): 1.691
Magnetization (μB per cell): 0.9

Cell lengths 4.460, 4.460, 4.460 Å; angles 60.00, 60.00, 60.00 degrees
Positions (direct):
Rh: 0.500 0.500 0.500
Mo: 0.250 0.250 0.250
Mo: 0.000 0.000 0.000
W: 0.750 0.750 0.750

***

No. 3
Density functional theory data (PBE) for a relaxed structure of RbCdCoH6.

Total DFT energy (no corrections) (eV/atom): -3.317
DOS(E_F) (states/eV/atom): 0.000
Magnetization (μB per cell): 0.1

Cell lengths 4.748, 4.748, 5.875 Å; angles 90.00, 90.00, 60.00 degrees
Positions (direct):
Rb: 0.000 0.000 0.000
H: 0.085 0.327 0.334
H: 0.588 0.327 0.666
H: 0.085 0.588 0.666
H: 0.588 0.085 0.334
H: 0.327 0.085 0.666
H: 0.327 0.588 0.334
Cd: 0.667 0.667 0.500
Co: 0.333 0.333 0.500